A plane-wave DFT calculation with GGA+U was carried out for FeSO5 after structural relaxation.

abc: 5.2865 5.2865 6.9446
angles: 73.92 73.92 98.93
Site moments in Bohr magnetons follow the coordinates.
Positions (direct):
O1 0.0771 0.9229 0.2500  -0.11
O2 0.7368 0.6140 0.1019  0.03
O3 0.1386 0.6863 0.6279  0.00
O4 0.6863 0.1386 0.1279  0.00
O5 0.3860 0.2632 0.3981  0.03
O6 0.9229 0.0771 0.7500  -0.11
O7 0.3137 0.8614 0.8721  0.00
O8 0.2632 0.3860 0.8981  0.03
O9 0.6140 0.7368 0.6019  0.03
O10 0.8614 0.3137 0.3721  0.00
S1 0.6667 0.3333 0.2500  0.02
S2 0.3333 0.6667 0.7500  0.02
Fe1 0.0000 0.0000 0.0000  4.01
Fe2 0.0000 0.0000 0.5000  4.01

- Energy above the most stable polymorph in this dataset: 0.000 eV/atom
- Spin magnetization: 3.97 μB/f.u.
- Volume: 86.7 Å³/f.u.
- E_tot: -84.78 eV/cell
- ρ: 3.215 g cm⁻³